DFT (PBE) results for a relaxed KCuSe crystal.

a = 7.2884 Å, b = 7.2884 Å, c = 4.4995 Å
α = 90.00°, β = 90.00°, γ = 120.00°
Closest atoms and distances in Å follow each position.
Element x y z (fractional)
K 0.0000 0.6106 0.5000  1 Cu 2.84
K 0.3894 0.3894 0.5000  1 Cu 2.84
K 0.6106 0.0000 0.5000  1 Cu 2.84
Cu 0.0000 0.0000 0.5000  3 K 2.84, 6 Se 3.14
Se 0.3014 0.0000 0.0000  2 Cu 2.55
Cu 0.6667 0.3333 0.0000  3 Se 2.55
Cu 0.3333 0.6667 0.0000  3 Se 2.55
Se 0.0000 0.3014 0.0000  2 Cu 2.55
Se 0.6986 0.6986 0.0000  2 Cu 2.55

E: -3.11 eV/atom